[1]
YTmOs | PBE | optimized geometry

Cell and atoms, written as CIF:
```
data_YTmOs
_chemical_formula_sum 'Y3 Tm3 Os3'
_space_group_name_H-M_alt 'P 32 1 2'
_space_group_IT_number 153
_cell_length_a 5.4037
_cell_length_b 5.4037
_cell_length_c 7.9733
_cell_angle_alpha 90.00
_cell_angle_beta 90.00
_cell_angle_gamma 120.00
loop_
_space_group_symop_operation_xyz
'x,y,z'
'-y,x-y,z+2/3'
'-x+y,-x,z+1/3'
'-y,-x,-z+1/3'
'-x+y,y,-z+2/3'
'x,x-y,-z'
loop_
_atom_site_label
_atom_site_fract_x
_atom_site_fract_y
_atom_site_fract_z
_atom_site_occupancy
Y1 0.1764 0.3527 0.3333 1
Tm1 0.3665 0.1833 0.0000 1
Os1 0.0011 0.5006 0.0000 1
```



[2]
YTmOs | PBE | optimized geometry

Cell and atoms, written as CIF:
```
data_YTmOs
_chemical_formula_sum 'Y2 Tm2 Os2'
_space_group_name_H-M_alt 'I 4 m m'
_space_group_IT_number 107
_space_group_name_Hall 'I 4 -2'
_cell_length_a 3.3840
_cell_length_b 3.3840
_cell_length_c 12.9948
_cell_angle_alpha 90.00
_cell_angle_beta 90.00
_cell_angle_gamma 90.00
loop_
_atom_site_label
_atom_site_fract_x
_atom_site_fract_y
_atom_site_fract_z
_atom_site_occupancy
Y1 0.0000 0.0000 0.0000 1
Tm1 0.0000 0.0000 0.2527 1
Os1 0.0000 0.0000 0.6296 1
```



Calculated values (eV per atom) of final energy for the records, taken in order: -7.296, -7.643.
Calculated values (eV per atom) of energy of formation from the pure elements for the records, taken in order: 0.093, -0.255.
Calculated values (g cm⁻³) of density for the records, taken in order: 11.1, 10.0.